DFT (PBE) results for Nb3GeH after structural relaxation.

Summary:
- Space group: No. 12
- Offset from the most stable computed form: 167.3 meV per atom
- DOS(E_F): 0.64 states/eV/atom
- Size of the total moment: 0.00 μB/atom

Cell: 6.532 6.532 7.178 Å, 94.68 94.68 30.47°
Atoms (fractional coordinates):
Nb1 0.035 0.035 0.315
Nb2 0.137 0.137 0.953
Nb3 0.324 0.324 0.374
Nb4 0.676 0.676 0.626
Nb5 0.863 0.863 0.047
Nb6 0.965 0.965 0.685
Ge1 0.319 0.319 0.766
Ge2 0.681 0.681 0.234
H1 0.098 0.098 0.574
H2 0.902 0.902 0.426